(1)
Co2SiAu (GGA-PBEsol, optimized geometry); crystal system = tetragonal; volume = 49 Å³/f.u.; raw formation energy = -0.01 eV/atom; total magnetic moment = 2.18 μB per formula unit
1.0
-2.2426 -1.6888 -2.3173
-1.2456 -2.0759 2.7184
-0.8652 4.3756 0.5077
Au Co Si
1 2 1
Direct
0.2500 0.7500 0.5000 Au
0.0000 0.0000 0.0000 Co
0.7500 0.2500 0.5000 Co
0.5000 0.5000 0.0000 Si

=====

(2)
La2SeCl (GGA-PBEsol, optimized geometry); crystal system = monoclinic; volume = 102 Å³/f.u.; raw formation energy = -1.84 eV/atom; total magnetic moment = 0.00 μB per formula unit
1.0
4.2253 0.0000 0.0000
-2.1126 3.6497 -0.0345
0.0000 -2.3855 6.6254
Cl La Se
1 2 1
Direct
0.0000 0.0000 0.5000 Cl
0.7486 0.4971 0.7458 La
0.2514 0.5029 0.2542 La
0.5000 0.0000 0.0000 Se

=====

(3)
GaS2F (GGA-PBEsol, optimized geometry); crystal system = tetragonal; volume = 80 Å³/f.u.; raw formation energy = -0.20 eV/atom; total magnetic moment = 1.56 μB per formula unit
1.0
-3.0422 1.0306 -4.7355
2.8160 -5.6944 0.4087
-3.3786 -4.4596 1.1998
Ga F S
2 2 4
Direct
0.0000 0.0000 0.0000 Ga
0.7500 0.5000 0.7500 Ga
0.5000 0.0000 0.5000 F
0.2500 0.5000 0.2500 F
0.8750 0.2500 0.6503 S
0.3750 0.2500 0.0997 S
0.6503 0.7500 0.3750 S
0.0997 0.7500 0.8750 S

=====

(4)
Na3DySi6O15 (GGA-PBEsol, optimized geometry); crystal system = orthorhombic; volume = 345 Å³/f.u.; raw formation energy = -2.76 eV/atom; total magnetic moment = 0.00 μB per formula unit
1.0
10.5784 0.0000 0.0000
0.0000 11.5242 0.0224
0.0000 -2.2054 11.3112
O Na Dy Si
60 12 4 24
Direct
0.9852 0.3864 0.8332 O
0.4238 0.9203 0.7485 O
0.0148 0.8332 0.3864 O
0.3416 0.8439 0.4884 O
0.0762 0.4203 0.2485 O
0.0871 0.0027 0.2816 O
0.8183 0.1535 0.1538 O
0.9852 0.1668 0.6136 O
0.7022 0.5725 0.4275 O
0.2978 0.4275 0.5725 O
0.9238 0.5797 0.7515 O
0.5762 0.7485 0.9203 O
0.5871 0.7816 0.5027 O
0.8313 0.7667 0.5168 O
0.4238 0.2515 0.0797 O
0.8416 0.9884 0.3439 O
0.2022 0.9275 0.0725 O
0.1584 0.3439 0.9884 O
0.8313 0.4832 0.2333 O
0.6817 0.3462 0.3465 O
0.0640 0.1642 0.8358 O
0.5762 0.0797 0.2515 O
0.4852 0.1136 0.6668 O
0.5640 0.3358 0.6642 O
0.4129 0.5027 0.7816 O
0.6584 0.1561 0.5116 O
0.6817 0.6535 0.6538 O
0.9360 0.8358 0.1642 O
0.5148 0.8864 0.3332 O
0.3183 0.3465 0.3462 O
0.6584 0.4884 0.8439 O
0.1584 0.0116 0.6561 O
0.8416 0.6561 0.0116 O
0.1687 0.5168 0.7667 O
0.5871 0.4973 0.2184 O
0.9890 0.6063 0.3937 O
0.1817 0.1538 0.1535 O
0.4129 0.2184 0.4973 O
0.4852 0.3332 0.8864 O
0.3183 0.6538 0.6535 O
0.9238 0.2485 0.4203 O
0.6687 0.9832 0.7333 O
0.9129 0.2816 0.0027 O
0.1817 0.8465 0.8462 O
0.6687 0.2667 0.0168 O
0.5110 0.1063 0.8937 O
0.5148 0.6668 0.1136 O
0.7978 0.0725 0.9275 O
0.4360 0.6642 0.3358 O
0.9129 0.9973 0.7184 O
0.3313 0.0168 0.2667 O
0.0871 0.7184 0.9973 O
0.1687 0.2333 0.4832 O
0.3416 0.5116 0.1561 O
0.8183 0.8462 0.8465 O
0.0110 0.3937 0.6063 O
0.0148 0.6136 0.1668 O
0.3313 0.7333 0.9832 O
0.0762 0.7515 0.5797 O
0.4890 0.8937 0.1063 O
0.2533 0.5710 0.4290 Na
0.5000 0.2635 0.2635 Na
0.7500 0.9718 0.5282 Na
0.0000 0.7635 0.7635 Na
0.2467 0.0710 0.9290 Na
0.7500 0.4718 0.0282 Na
0.7533 0.9290 0.0710 Na
0.7467 0.4290 0.5710 Na
0.2500 0.0282 0.4718 Na
0.0000 0.2365 0.2365 Na
0.2500 0.5282 0.9718 Na
0.5000 0.7365 0.7365 Na
0.7500 0.1591 0.3409 Dy
0.7500 0.6591 0.8409 Dy
0.2500 0.8409 0.6591 Dy
0.2500 0.3409 0.1591 Dy
0.5204 0.2403 0.9725 Si
0.5344 0.2040 0.5835 Si
0.4796 0.7597 0.0275 Si
0.0344 0.0835 0.7040 Si
0.9656 0.7040 0.0835 Si
0.2998 0.5288 0.6921 Si
0.4656 0.5835 0.2040 Si
0.4656 0.7960 0.4165 Si
0.0204 0.4725 0.7403 Si
0.2998 0.3079 0.4712 Si
0.7998 0.9712 0.8079 Si
0.7002 0.4712 0.3079 Si
0.0204 0.2597 0.5275 Si
0.2002 0.8079 0.9712 Si
0.9796 0.5275 0.2597 Si
0.9796 0.7403 0.4725 Si
0.7998 0.1921 0.0288 Si
0.9656 0.9165 0.2960 Si
0.5344 0.4165 0.7960 Si
0.7002 0.6921 0.5288 Si
0.5204 0.0275 0.7597 Si
0.0344 0.2960 0.9165 Si
0.2002 0.0288 0.1921 Si
0.4796 0.9725 0.2403 Si